PaTl2Cu2O6 PBE-GGA optimized geometry; formation energy (no corrections) = -1.407 eV per atom; crystal system = trigonal; space group = No. 147; DOS(E_F) = 6.22 states/eV per cell
1.0
-5.1359 2.4847 0.4426
1.7086 -2.1650 -5.0140
-2.8442 -6.1819 1.7001
O Cu Pa Tl
6 2 1 2
Cartesian
-4.0589 0.5907 0.4760
-1.9231 -5.7265 -0.2215
-4.3484 -0.1357 -2.6499
-1.6652 -0.9311 -1.0528
-2.2127 -6.4529 -3.3474
-4.6064 -4.9311 -1.8185
-2.9352 -5.7494 -1.7832
-3.3364 -0.1128 -1.0882
0.0000 0.0000 0.0000
-4.6503 -2.9685 -0.3029
-1.6213 -2.8937 -2.5685


PuSi2Tc PBE-GGA optimized geometry; formation energy (no corrections) = -0.497 eV per atom; crystal system = orthorhombic; space group = No. 62; DOS(E_F) = 44.50 states/eV per cell
1.0
3.9104 0.0000 0.0000
0.0000 7.1646 0.0000
0.0000 0.0000 10.0686
Si Pu Tc
8 4 4
Cartesian
0.9776 1.9981 9.3437
0.9776 5.5804 5.7593
2.9328 4.6633 6.8964
2.9328 1.0810 8.2065
2.9328 1.5842 4.3094
0.9776 6.0836 1.8621
2.9328 5.1665 0.7249
0.9776 2.5013 3.1722
2.9328 4.6479 3.7116
0.9776 6.0990 8.7459
2.9328 1.0656 1.3227
0.9776 2.5167 6.3571
0.9776 3.6664 1.0485
2.9328 7.0805 6.0829
2.9328 3.4982 9.0201
0.9776 0.0841 3.9858


Cd2TcH5 PBE-GGA optimized geometry; crystal system = monoclinic; space group = No. 8
1.0
3.5335 0.0525 1.9015
2.2010 4.7700 0.0260
-0.5244 -0.1205 5.2253
H Cd Tc
5 2 1
Cartesian
4.9696 3.7863 3.1383
2.7877 1.6380 3.0016
2.6127 3.6778 4.8282
3.4998 1.1489 5.9422
1.3436 3.6576 4.1440
1.9924 0.5539 4.5271
3.4304 3.1344 1.7837
3.3638 0.2266 1.9763


Tb6ErMg2 PBE-GGA optimized geometry; crystal system = monoclinic; energy relative to the elements = 0.029 eV/atom; space group = No. 12; DOS(E_F) = 23.83 states/eV per cell
1.0
-0.7475 -7.2823 4.9561
7.6493 -3.2987 2.6840
1.6347 1.2784 8.5024
Tb Mg Er
12 4 2
Cartesian
7.8363 -2.7484 11.5060
0.1174 -2.1852 3.0837
4.3347 -3.2622 10.9587
0.7001 -6.5543 4.6365
4.1495 -2.4664 4.9899
4.3870 -6.8362 11.1526
5.7145 -3.9209 7.7519
1.5664 -0.1093 5.6167
6.9700 -9.1933 10.5258
2.8219 -5.3817 8.3906
4.2018 -6.0404 5.1838
8.4190 -7.1174 13.0587
7.1764 -5.6018 10.2987
1.3600 -3.7008 5.8438
2.9082 -0.9534 2.2297
5.6283 -8.3492 13.9128
2.9502 -1.6855 8.2880
5.5862 -7.6171 7.8544


Hf2MoPd PBE-GGA optimized geometry; crystal system = orthorhombic; energy relative to the elements = 0.418 eV/atom; space group = No. 71; DOS(E_F) = 3.62 states/eV per cell
1.0
-4.4458 -1.2593 -3.8393
3.3512 -3.7593 3.2754
2.0614 1.6027 5.4105
Mo Hf Pd
1 2 1
Cartesian
0.0000 0.0000 0.0000
1.3810 -0.5502 2.2161
4.0316 -1.6064 6.4697
2.7063 -1.0783 4.3429


Na2Tm2F7 PBE-GGA optimized geometry; formation energy (no corrections) = -3.473 eV per atom; crystal system = orthorhombic; space group = No. 65; DOS(E_F) = 1.51 states/eV per cell
1.0
5.4427 -0.0012 -0.0542
0.0041 5.7527 0.0010
-0.3932 -0.0034 5.4287
Tm F Na
2 7 2
Cartesian
1.1826 -0.0025 3.9482
3.8710 5.7506 1.4273
2.5286 4.4823 2.6875
-0.1925 4.4789 2.7147
5.2461 1.2691 2.6609
0.0000 0.0000 0.0000
2.7217 1.2714 -0.0260
2.3319 4.4766 5.4016
2.5250 1.2657 2.6881
3.7637 2.8729 4.0043
1.2899 2.8752 1.3712


BaCaSe2 PBE-GGA optimized geometry; formation energy (no corrections) = -1.932 eV per atom; crystal system = tetragonal; space group = No. 123; DOS(E_F) = 0.00 states/eV per cell
1.0
4.5190 0.0000 0.0000
0.0000 4.5190 0.0000
0.0000 0.0000 6.3853
Se Ca Ba
2 1 1
Cartesian
2.2595 2.2595 2.3948
0.0000 0.0000 5.5872
2.2595 2.2595 5.5870
0.0000 0.0000 2.3943


ThGaNi3 PBE-GGA optimized geometry; crystal system = orthorhombic; energy relative to the elements = -0.161 eV/atom; space group = No. 55; DOS(E_F) = 5.21 states/eV per cell
1.0
4.8158 0.0000 0.0000
0.0000 6.7686 0.0000
0.0000 0.0000 5.2561
Th Ni Ga
2 6 2
Cartesian
2.4079 3.3843 2.6281
2.4079 0.0000 0.0000
2.4079 0.0000 2.6281
0.0000 4.5490 2.0487
0.0000 5.6039 4.6768
0.0000 2.2196 3.2074
0.0000 1.1647 0.5794
2.4079 3.3843 0.0000
0.0000 0.0000 2.6281
0.0000 3.3843 0.0000


BaSc2C PBE-GGA optimized geometry; crystal system = cubic; energy relative to the elements = 0.088 eV/atom; space group = No. 227; DOS(E_F) = 10.50 states/eV per cell
1.0
-1.3213 -6.2702 -2.7669
-0.0833 -2.8029 6.3917
-5.5535 -3.6566 2.1350
C Sc Ba
2 4 2
Cartesian
-3.1696 -5.4981 5.1696
-0.7023 -4.5366 1.8124
-4.7127 -6.8450 4.5570
-5.3734 -9.9814 3.1765
-1.8946 -3.6173 0.2945
-1.9357 -5.0159 3.4916
0.0000 0.0000 0.0000
-3.7886 -7.2317 0.5903


SmDy3Tm2 PBE-GGA optimized geometry; crystal system = monoclinic; energy relative to the elements = 0.021 eV/atom; space group = No. 15; DOS(E_F) = 16.50 states/eV per cell
1.0
7.0726 0.0000 0.0000
0.0000 6.0934 0.5715
-3.5363 -0.7955 8.6290
Dy Sm Tm
6 2 4
Cartesian
4.4238 5.0496 6.2547
-0.8875 0.2483 2.9458
2.6488 2.0029 5.9690
0.8875 3.2950 3.2315
4.4148 1.5234 0.1429
2.6578 4.5701 0.4286
0.8881 1.5234 0.1429
6.1845 4.5701 0.4286
2.6564 0.2406 2.9356
0.8799 5.0573 6.2649
-0.8799 2.0106 5.9792
4.4162 3.2873 3.2213


VTe3Cl PBE-GGA optimized geometry; formation energy (no corrections) = 0.998 eV per atom; crystal system = cubic; space group = No. 221; DOS(E_F) = 6.81 states/eV per cell
1.0
-3.7325 0.1679 3.8484
-0.3186 -5.3538 -0.0754
3.8389 -0.2811 3.7355
V Te Cl
1 3 1
Cartesian
-0.1061 -2.7335 3.7543
1.9194 -0.1405 1.8678
-0.1593 -2.6769 -0.0377
-1.8663 0.0840 1.9242
0.0000 0.0000 0.0000


MgReAu2 PBE-GGA optimized geometry; crystal system = tetragonal; energy relative to the elements = 0.147 eV/atom; space group = No. 123; DOS(E_F) = 3.44 states/eV per cell
1.0
-2.8044 -0.3485 0.2343
0.4061 -2.6538 0.9129
0.3143 2.7489 7.8512
Re Au Mg
1 2 1
Cartesian
-0.9634 0.5605 6.4620
0.1570 1.3733 3.9223
0.0001 0.0012 0.0033
-1.1206 -0.8139 2.5364


Calculated values (eV per cell) of electronic total energy for the records, taken in order: -67.65, -150.12, -28.12, -70.55, -34.26, -62.88, -18.62, -57.19, -46.92, -54.69, -15.40, -20.01.
Calculated values (Å³/atom) of V for the records, taken in order: 18.083, 17.630, 11.466, 30.022, 19.430, 15.441, 32.600, 17.133, 30.088, 31.258, 30.864, 16.735.